Sn2HgPt2 PBE optimized geometry; ΔE to the lowest computed polymorph = 0.42 eV/f.u.; raw total energy = -4.216 eV per atom; DOS at the Fermi energy = 0.44 states/eV/atom; formation enthalpy at 0 K = -0.14 eV per atom; symmetry = No. 127
1.0
8.276 0.000 0.000
0.000 8.276 0.000
0.000 0.000 3.045
Hg Pt Sn
2 4 4
Cartesian
0.000 0.000 0.000
4.138 4.138 0.000
1.065 5.203 1.523
5.203 7.211 1.523
7.211 3.073 1.523
3.073 1.065 1.523
2.786 6.925 0.000
6.925 5.490 0.000
5.490 1.352 0.000
1.352 2.786 0.000